(1)
An optimized crystal structure of CaCl3. Source: Alexandria, functional GGA-PBEsol.

Cell and atoms, written as POSCAR:
```
CaCl3
1.0
4.262 0.084 0.000
-1.116 4.114 0.000
0.000 0.000 5.030
Cl Ca
3 1
Cartesian
-0.558 2.057 2.515 Cl
2.131 0.042 2.515 Cl
1.573 2.099 0.000 Cl
0.000 0.000 0.000 Ca
```

Calculated values
Magnetic moment, μB per formula unit: 0.000
D(E_F), states/eV/cell: 0.6
Raw formation energy, eV per formula unit: -5.88
Calculated density, kg/m³: 2743

=====

(2)
An optimized crystal structure of CaCl. Source: Alexandria, functional GGA-PBEsol.

Cell and atoms, written as POSCAR:
```
CaCl
1.0
-1.363 2.621 2.222
-3.224 -0.150 -1.801
-2.439 -5.346 4.811
Cl Ca
2 2
Cartesian
-3.173 -3.497 2.179 Cl
-1.559 -0.614 2.842 Cl
-2.116 -1.179 0.093 Ca
-2.617 -2.932 4.928 Ca
```

Calculated values
Magnetic moment, μB per formula unit: 0.000
D(E_F), states/eV/cell: 1.6
Raw formation energy, eV per formula unit: -3.34
Calculated density, kg/m³: 2418